4
Lattice="4.152 0.000 0.000 2.076 3.596 0.000 2.076 1.199 5.028" Properties=species:S:1:pos:R:3 comment="NpCuGe2, relaxed, DFT PBE-GGA" sg="R-3m, No. 166" formation_energy_ev_per_fu=-0.2 dos_at_fermi_per_ev_fu=8.243 pbc="T T T"
Np 4.152 2.397 2.514
Ge 2.076 1.199 0.826
Ge 6.228 3.596 4.202
Cu 0.000 0.000 0.000

5
Lattice="4.431 0.000 0.000 0.000 4.431 0.000 0.000 0.000 4.431" Properties=species:S:1:pos:R:3 comment="Ga3NiRh, relaxed, DFT PBE-GGA" de_polymorph_ev_per_fu=2.98 sg="Pm-3m, No. 221" formation_energy_ev_per_fu=1.0 dos_at_fermi_per_ev_fu=4.621 pbc="T T T"
Ni 0.000 0.000 0.000
Rh 2.216 2.216 2.216
Ga 0.000 2.216 0.000
Ga 0.000 0.000 2.216
Ga 2.216 0.000 0.000

5
Lattice="4.519 0.000 0.000 0.000 4.519 0.000 0.000 0.000 4.519" Properties=species:S:1:pos:R:3 comment="Os3CSe, relaxed, DFT PBE-GGA" de_polymorph_ev_per_fu=11.01 sg="Pm-3m, No. 221" dos_at_fermi_per_ev_fu=4.672 pbc="T T T"
C 2.260 2.260 2.260
Os 0.000 2.260 0.000
Os 0.000 0.000 2.260
Os 2.260 0.000 0.000
Se 0.000 0.000 0.000

13
Lattice="6.084 0.000 0.000 3.042 5.269 0.000 3.042 1.756 11.955" Properties=species:S:1:pos:R:3 comment="Ca2Tl3Hg8, relaxed, DFT PBE-GGA" sg="R-3m, No. 166" formation_energy_ev_per_fu=-1.4 dos_at_fermi_per_ev_fu=6.803 pbc="T T T"
Ca 6.084 3.513 1.129
Ca 6.084 3.513 10.826
Tl 0.000 0.000 0.000
Tl 9.126 5.269 6.685
Tl 3.042 1.756 5.270
Hg 9.126 5.269 10.058
Hg 3.042 1.756 1.897
Hg 4.546 4.401 3.751
Hg 6.084 1.736 3.751
Hg 7.623 4.401 3.751
Hg 6.084 5.290 8.204
Hg 7.623 2.624 8.204
Hg 4.546 2.624 8.204

6
Lattice="-0.459 -1.349 4.792 4.071 -0.486 2.861 0.916 3.315 3.629" Properties=species:S:1:pos:R:3 comment="LaNi4Pd, relaxed, DFT PBE-GGA" sg="F-43m, No. 216" formation_energy_ev_per_fu=-1.5 dos_at_fermi_per_ev_fu=7.171 pbc="T T T"
Ni 2.373 -0.740 5.235
Ni 0.787 1.170 5.620
Ni 2.833 0.926 7.058
Ni 3.064 1.604 4.650
Pd 0.000 0.000 0.000
La 1.132 0.370 2.820

20
Lattice="-7.897 5.224 2.867 -5.005 -7.186 -2.518 3.603 -0.149 8.368" Properties=species:S:1:pos:R:3 comment="AcPmPr6Ho2, relaxed, DFT PBE-GGA" sg="C2/c, No. 15" formation_energy_ev_per_fu=1.2 dos_at_fermi_per_ev_fu=14.456 pbc="T T T"
Ac -6.720 -5.669 -1.474
Ac -2.578 3.557 10.192
Pm -1.897 -1.726 4.626
Pm -7.401 -0.386 4.092
Pr 1.709 -0.657 6.169
Pr -1.567 0.423 8.061
Pr -11.008 -1.455 2.548
Pr -7.731 -2.536 0.656
Pr -5.858 -5.505 2.154
Pr -4.164 -3.038 -0.780
Pr -3.440 3.393 6.563
Pr -5.135 0.926 9.497
Pr -2.706 -4.523 2.660
Pr -4.505 -1.722 2.271
Pr -6.592 2.411 6.057
Pr -4.794 -0.390 6.446
Ho -5.071 -3.482 5.086
Ho -1.188 -1.985 1.048
Ho -4.227 1.370 3.631
Ho -8.111 -0.127 7.669

3
Lattice="5.563 -0.441 0.976 3.075 2.598 0.158 -0.420 0.342 2.549" Properties=species:S:1:pos:R:3 comment="GaCoNi, relaxed, DFT PBE-GGA" sg="P2/m, No. 10" formation_energy_ev_per_fu=0.3 dos_at_fermi_per_ev_fu=4.691 pbc="T T T"
Ga 1.537 1.299 0.079
Co -0.210 0.171 1.275
Ni 4.319 1.079 0.567

10
Lattice="-0.404 -2.219 -1.940 -0.361 -1.906 2.256 -15.403 2.853 -0.055" Properties=species:S:1:pos:R:3 comment="Al4PdRh5, relaxed, DFT PBE-GGA" sg="P4/mmm, No. 123" formation_energy_ev_per_fu=-8.6 dos_at_fermi_per_ev_fu=7.918 pbc="T T T"
Al -3.180 0.589 -0.011
Al -6.201 1.149 -0.022
Al -9.202 1.704 -0.033
Al -12.223 2.264 -0.044
Pd 0.000 0.000 0.000
Rh -2.220 -1.722 0.151
Rh -5.141 -1.181 0.141
Rh -8.084 -0.636 0.130
Rh -11.027 -0.091 0.120
Rh -13.948 0.450 0.109

5
Lattice="5.492 0.000 0.000 0.000 5.492 0.000 0.000 0.000 6.094" Properties=species:S:1:pos:R:3 comment="SrCaLa2Tc, relaxed, DFT PBE-GGA" de_polymorph_ev_per_fu=0.00 sg="P4/mmm, No. 123" formation_energy_ev_per_fu=0.3 dos_at_fermi_per_ev_fu=4.405 pbc="T T T"
Sr 2.746 2.746 3.047
Ca 0.000 0.000 3.047
Tc 0.000 0.000 0.000
La 0.000 2.746 0.000
La 2.746 0.000 0.000

4
Lattice="-0.043 -1.154 -3.068 0.719 -2.957 1.219 -8.070 -1.658 0.738" Properties=species:S:1:pos:R:3 comment="Li2InCl, relaxed, DFT PBE-GGA" de_polymorph_ev_per_fu=0.30 sg="Cmm2, No. 35" dos_at_fermi_per_ev_fu=2.035 pbc="T T T"
Cl -2.455 -0.504 0.225
In -5.911 -3.340 -0.353
Li -0.168 -0.034 0.015
Li -2.896 -2.720 -0.629

14
Lattice="5.699 0.000 -0.024 0.000 5.565 0.000 -2.264 0.000 6.815" Properties=species:S:1:pos:R:3 comment="AcSmMnN4, relaxed, DFT PBE-GGA" total_energy_ev_per_atom=-8.242 sg="P2_1/m, No. 11" dos_at_fermi_per_ev_fu=2.925 pbc="T T T"
Ac 1.956 4.173 6.304
Ac 1.478 1.391 0.487
Sm 3.459 4.173 3.102
Sm -0.024 1.391 3.689
Mn 0.631 4.173 2.121
Mn 2.804 1.391 4.670
N 3.831 2.743 5.033
N -0.396 5.526 1.758
N -0.396 2.821 1.758
N 3.831 0.039 5.033
N 2.054 4.173 1.089
N 1.380 1.391 5.702
N 1.042 4.173 3.776
N 2.393 1.391 3.015

5
Lattice="4.284 0.000 0.000 0.000 4.284 0.000 0.000 0.000 4.284" Properties=species:S:1:pos:R:3 comment="SiIF3, relaxed, DFT PBE-GGA" de_polymorph_ev_per_fu=6.61 sg="Pm-3m, No. 221" dos_at_fermi_per_ev_fu=4.559 pbc="T T T"
I 2.142 2.142 2.142
Si 0.000 0.000 0.000
F 0.000 2.142 0.000
F 0.000 0.000 2.142
F 2.142 0.000 0.000